(1)
10
Lattice="1.623 -2.820 -4.625 1.629 3.102 -4.438 5.525 0.032 -1.199" Properties=species:S:1:pos:R:3 comment="NbCdO3 (PBE, optimized geometry)" e_tot_ev_per_atom=-6.6909 magmom_total_mub_per_cell=1.978 sg="No. 167" pbc="T T T"
Cd 0.000 0.000 0.000
Nb 2.194 0.079 -2.566
Cd 4.388 0.157 -5.131
O 3.718 2.148 -4.162
O 6.480 1.087 -4.795
Nb 6.583 0.236 -7.697
O 2.297 -0.773 -5.467
O 5.058 -1.834 -6.101
O 4.956 -0.983 -3.199
O 3.821 1.297 -7.063



(2)
18
Lattice="-2.989 -0.664 -3.994 -4.760 -1.553 -0.509 -8.539 25.479 2.166" Properties=species:S:1:pos:R:3 comment="Ag8Bi (PBE, optimized geometry)" e_tot_ev_per_atom=-2.9038 sg="No. 12" pbc="T T T"
Ag -9.352 8.815 -2.502
Ag -12.403 17.847 -1.746
Bi -7.294 20.384 1.497
Ag -12.185 14.885 -2.391
Ag -9.455 11.740 -1.807
Ag -3.885 5.415 -0.592
Ag -6.936 14.447 0.164
Ag -4.103 8.376 0.054
Ag -6.744 8.623 -1.225
Bi -8.994 2.877 -3.835
Ag -4.229 11.295 0.735
Ag -7.060 17.334 0.838
Ag -12.059 11.966 -3.072
Ag -9.228 5.928 -3.175
Ag -9.544 14.639 -1.112
Ag -6.589 5.685 -1.896
Ag -9.699 17.577 -0.441
Ag -6.833 11.521 -0.530



(3)
3
Lattice="-0.308 0.264 4.771 0.919 4.135 2.233 -3.565 2.465 2.037" Properties=species:S:1:pos:R:3 comment="RbScOs (PBE, optimized geometry)" polymorph_energy_mev_per_atom=0.0 e_tot_ev_per_atom=-4.9285 magmom_total_mub_per_cell=0.001 sg="No. 216" pbc="T T T"
Rb -0.738 1.716 2.260
Os 0.000 0.000 0.000
Sc -2.215 5.148 6.781



(4)
3
Lattice="0.486 -0.053 3.929 -3.116 -0.584 2.372 -0.360 -3.402 1.994" Properties=species:S:1:pos:R:3 comment="FeNiPd (PBE, optimized geometry)" delta_e_f_ev_per_fu=0.9 polymorph_energy_mev_per_atom=0.0 e_tot_ev_per_atom=-6.0537 magmom_total_mub_per_cell=4.060 sg="No. 216" pbc="T T T"
Pd -2.242 -3.029 6.221
Fe 0.000 0.000 0.000
Ni -0.747 -1.010 2.074



(5)
4
Lattice="-1.643 3.474 -0.115 -2.518 -1.102 2.688 4.342 2.218 4.977" Properties=species:S:1:pos:R:3 comment="LaPbAu2 (PBE, optimized geometry)" e_tot_ev_per_atom=-4.3365 magmom_total_mub_per_cell=0.000 sg="No. 123" pbc="T T T"
Au -0.935 1.771 2.599
La 2.171 1.109 2.489
Pb 0.000 0.000 0.000
Au 1.116 2.819 4.951



(6)
4
Lattice="0.000 2.957 2.957 2.957 0.000 2.957 2.957 2.957 0.000" Properties=species:S:1:pos:R:3 comment="Fe2ReGe (PBE, optimized geometry)" e_tot_ev_per_atom=-8.3115 magmom_total_mub_per_cell=4.119 sg="No. 216" pbc="T T T"
Re 1.478 1.478 1.478
Fe 4.435 4.435 4.435
Ge 2.957 2.957 2.957
Fe 0.000 0.000 0.000



(7)
7
Lattice="-2.052 2.052 6.836 2.052 -2.052 6.836 2.052 2.052 -6.836" Properties=species:S:1:pos:R:3 comment="CsKZnF4 (PBE, optimized geometry)" e_tot_ev_per_atom=-4.0908 sg="No. 107" pbc="T T T"
K 0.000 0.000 8.765
Zn 0.000 0.000 0.007
F 0.000 2.052 0.094
F 2.052 0.000 0.094
F 0.000 0.000 11.631
F 0.000 0.000 2.007
Cs 0.000 0.000 4.745



(8)
4
Lattice="2.614 1.509 4.269 -2.614 1.509 4.269 0.000 -3.019 4.269" Properties=species:S:1:pos:R:3 comment="NiBi2Sb (PBE, optimized geometry)" e_tot_ev_per_atom=-3.9943 magmom_total_mub_per_cell=0.004 sg="No. 216" pbc="T T T"
Bi 0.000 0.000 9.606
Ni 0.000 0.000 3.202
Sb 0.000 0.000 6.404
Bi 0.000 0.000 0.000



(9)
8
Lattice="-1.832 2.529 3.539 -4.336 -0.757 -1.703 -0.577 -6.535 4.372" Properties=species:S:1:pos:R:3 comment="GeTePdO (PBE, optimized geometry)" polymorph_energy_mev_per_atom=367.6 e_tot_ev_per_atom=-4.8035 sg="No. 129" pbc="T T T"
O -5.170 -4.831 5.499
Te -3.998 -3.203 1.793
Ge -2.029 -5.072 4.149
Pd -5.009 -3.007 4.278
O -1.575 0.069 0.709
Ge -4.716 0.310 2.059
Pd -1.736 -1.755 1.930
Te -2.746 -1.559 4.414



(10)
3
Lattice="0.000 3.539 3.539 3.539 0.000 3.539 3.539 3.539 0.000" Properties=species:S:1:pos:R:3 comment="NaPuGa (PBE, optimized geometry)" polymorph_energy_mev_per_atom=0.0 e_tot_ev_per_atom=-5.8918 magmom_total_mub_per_cell=6.222 sg="No. 216" pbc="T T T"
Pu 5.309 5.309 5.309
Na 1.770 1.770 1.770
Ga 0.000 0.000 0.000



(11)
5
Lattice="-5.196 0.531 4.092 -5.929 2.173 -2.036 4.705 -4.347 -1.728" Properties=species:S:1:pos:R:3 comment="BiSb2Pd2 (PBE, optimized geometry)" e_tot_ev_per_atom=-4.6429 sg="No. 139" pbc="T T T"
Sb -4.182 1.016 0.773
Pd -3.393 -0.411 -1.368
Bi 0.000 0.000 0.000
Sb -6.943 1.687 1.283
Pd -3.027 -1.232 1.696



(12)
3
Lattice="2.481 -1.989 2.119 -0.961 -3.451 1.331 1.658 -3.130 -1.434" Properties=species:S:1:pos:R:3 comment="BeCoW (PBE, optimized geometry)" polymorph_energy_mev_per_atom=0.0 e_tot_ev_per_atom=-7.6624 magmom_total_mub_per_cell=0.264 sg="No. 216" pbc="T T T"
Be 0.794 -2.143 0.504
Co 0.000 0.000 0.000
W 2.383 -6.428 1.513



(13)
12
Lattice="8.342 -1.980 0.000 8.342 1.980 0.000 0.000 0.000 10.509" Properties=species:S:1:pos:R:3 comment="RbCuTcTe3 (PBE, optimized geometry)" polymorph_energy_mev_per_atom=61.2 e_tot_ev_per_atom=-4.3141 magmom_total_mub_per_cell=4.400 sg="No. 63" pbc="T T T"
Te 10.231 0.000 5.666
Rb 12.613 0.000 2.627
Te 1.074 0.000 2.627
Cu 8.949 0.000 7.882
Tc 0.000 0.000 5.254
Te 6.454 0.000 0.411
Tc 0.000 0.000 0.000
Te 15.611 0.000 7.882
Cu 7.736 0.000 2.627
Te 6.454 0.000 4.843
Te 10.231 0.000 10.097
Rb 4.072 0.000 7.882



(14)
32
Lattice="-3.084 -5.913 4.074 6.012 -4.550 -2.054 3.926 2.324 6.345" Properties=species:S:1:pos:R:3 comment="Al3Ir (PBE, optimized geometry)" e_tot_ev_per_atom=-5.5854 magmom_total_mub_per_cell=0.005 sg="No. 223" pbc="T T T"
Al 3.728 0.885 4.105
Ir 3.427 -4.070 4.183
Al 1.128 -2.193 8.161
Al 2.262 -2.325 5.833
Al 5.872 -5.057 4.600
Al 5.333 -3.036 2.625
Al 3.482 -6.587 5.071
Al 3.373 -1.553 3.294
Ir 1.192 -0.316 4.191
Al 2.159 -0.044 1.570
Al 1.626 -8.133 1.973
Al 7.779 -2.182 2.721
Ir 3.988 -1.694 0.559
Al 3.705 -4.148 -0.773
Ir 0.000 0.000 0.000
Ir -0.350 -3.273 6.228
Ir 5.951 -0.532 3.732
Al -1.518 -3.759 3.885
Al -0.776 -6.315 2.793
Al 4.103 -4.336 6.752
Al 2.360 0.170 6.533
Al 2.751 -3.803 1.614
Ir 2.967 -6.369 0.497
Al 6.211 -3.111 0.186
Al 0.982 -3.082 3.765
Al 1.521 -5.103 5.740
Al 1.302 -2.330 0.048
Ir -0.039 -4.094 1.524
Al 4.592 -5.814 2.532
Al 5.109 -2.408 5.423
Al 1.746 -5.731 2.942
Al -0.286 -1.396 2.257



(15)
4
Lattice="0.000 3.265 3.265 3.265 0.000 3.265 3.265 3.265 0.000" Properties=species:S:1:pos:R:3 comment="LiMgAg2 (PBE, optimized geometry)" e_tot_ev_per_atom=-2.4796 sg="No. 216" pbc="T T T"
Ag 0.000 0.000 0.000
Ag 4.898 4.898 4.898
Mg 1.633 1.633 1.633
Li 3.265 3.265 3.265



(16)
6
Lattice="4.163 0.000 0.000 -2.082 3.606 0.000 0.000 0.000 10.187" Properties=species:S:1:pos:R:3 comment="LaSm2P3 (PBE, optimized geometry)" e_tot_ev_per_atom=-6.6677 magmom_total_mub_per_cell=0.020 sg="No. 164" pbc="T T T"
Sm 0.000 2.404 8.529
La 0.000 0.000 5.093
P 0.000 0.000 0.000
P 0.000 2.404 3.324
Sm 2.082 1.202 1.658
P 2.082 1.202 6.863



(17)
8
Lattice="-4.381 -2.129 5.087 2.377 -4.769 0.051 4.126 -1.998 2.717" Properties=species:S:1:pos:R:3 comment="DyMgAl4Pd2 (PBE, optimized geometry)" e_tot_ev_per_atom=-4.6030 magmom_total_mub_per_cell=0.014 sg="No. 38" pbc="T T T"
Mg 0.606 -3.974 3.734
Dy 3.697 -3.848 1.574
Pd 1.856 -1.931 0.790
Pd 2.417 -5.859 4.504
Al 4.699 -6.249 3.413
Al -2.096 -2.451 3.924
Al -0.407 -1.631 1.962
Al 2.099 -7.513 6.432



(18)
8
Lattice="3.155 0.000 0.000 -1.578 2.733 0.000 0.000 0.000 13.195" Properties=species:S:1:pos:R:3 comment="ZnSbMo4C2 (PBE, optimized geometry)" e_tot_ev_per_atom=-8.3434 magmom_total_mub_per_cell=0.033 sg="No. 187" pbc="T T T"
Zn 1.578 0.911 0.000
Sb 0.000 1.822 6.597
Mo 0.000 1.822 11.088
C 0.000 0.000 3.214
Mo 1.578 0.911 4.338
Mo 0.000 1.822 2.107
Mo 1.578 0.911 8.856
C 0.000 0.000 9.981



(19)
10
Lattice="-4.298 4.266 4.292 4.298 -4.266 4.292 4.298 4.266 -4.292" Properties=species:S:1:pos:R:3 comment="LaNd3Co (PBE, optimized geometry)" delta_e_f_ev_per_fu=-0.4 e_tot_ev_per_atom=-5.3344 magmom_total_mub_per_cell=0.136 sg="No. 46" pbc="T T T"
Co 2.149 3.300 1.807
Nd 4.683 2.492 1.889
Nd -0.385 2.492 1.889
La 2.149 3.916 -0.610
Nd 0.385 6.039 1.889
La 2.149 0.350 3.682
Nd 2.149 3.907 4.396
Nd 2.149 0.359 0.104
Nd -0.385 1.774 6.180
Co 2.149 0.966 6.098



(20)
6
Lattice="2.701 -1.024 4.649 -0.104 3.642 4.085 -2.772 -1.111 4.587" Properties=species:S:1:pos:R:3 comment="Zr2Ir (PBE, optimized geometry)" delta_e_f_ev_per_fu=1.0 e_tot_ev_per_atom=-8.3131 magmom_total_mub_per_cell=0.042 sg="No. 227" pbc="T T T"
Zr -1.460 1.454 6.001
Ir -0.044 0.377 3.330
Ir 0.000 0.000 0.000
Zr 1.276 1.497 6.032
Zr -0.110 0.942 8.325
Zr -0.058 -0.879 6.283